# 1
# Tl3Tc

A relaxed structure of Tl3Tc (PBE, Alexandria via LeMat-Bulk).

```
Tl3Tc
1.0
0.000 3.679 3.679
3.679 0.000 3.679
3.679 3.679 0.000
Tl Tc
3 1
direct
0.000 0.000 0.000
0.250 0.250 0.250
0.750 0.750 0.750
0.500 0.500 0.500
```

Density   11.9 g cm⁻³
DOS at the Fermi energy   0.90 states/eV/atom
ΔH_f (0 K)   832.7 meV/atom
Electronic total energy   -0.1299 hartree per atom
Space group   No. 225
Energy above the most stable polymorph in this dataset   435.1 meV/atom

=====

# 2
# Mg6ZnRh

A relaxed structure of Mg6ZnRh (PBE, Alexandria via LeMat-Bulk).

```
Mg6ZnRh
1.0
3.119 -5.526 0.000
3.119 5.526 0.000
-2.754 0.000 5.002
Mg Zn Rh
6 1 1
direct
0.044 0.439 0.248
0.244 0.244 0.754
0.439 0.044 0.248
0.561 0.956 0.752
0.756 0.756 0.246
0.956 0.561 0.752
0.500 0.500 0.500
0.000 0.000 0.000
```

Density   3.0 g cm⁻³
DOS at the Fermi energy   0.47 states/eV/atom
ΔH_f (0 K)   8.5 meV/atom
Electronic total energy   -0.0833 hartree per atom
Space group   No. 12
Energy above the most stable polymorph in this dataset   190.0 meV/atom